#w
DFT (PBE) results for a relaxed Sr2CoCu crystal.

Calculated values
Mass density in g cm⁻³: 4.76
Total moment in μB/atom: 0.000

Unit cell a=7.951 b=7.951 c=6.565 alpha=90.00 beta=90.00 gamma=90.00
Space group I-42d (No. 122)
Unique sites:
Sr (0.230, 0.250, 0.125)
Co (0.000, 0.000, 0.000)
Cu (0.000, 0.000, 0.500)

=====

#x
DFT (PBE) results for a relaxed Sr2CoCu crystal.

Calculated values
Mass density in g cm⁻³: 4.67
Total moment in μB/atom: 0.191

Unit cell a=3.507 b=3.507 c=8.600 alpha=90.00 beta=90.00 gamma=90.00
Space group P4mm (No. 99)
Unique sites:
Sr (0.000, 0.000, 0.000)
Sr (0.500, 0.500, 0.427)
Co (0.000, 0.000, 0.674)
Cu (0.500, 0.500, 0.757)

=====

Going by the energies, #x is most stable and the next is 262 meV per atom up.

=====

#w
DFT (PBE) results for a relaxed Sr2CoCu crystal.

Calculated values
Mass density in g cm⁻³: 4.82
Total moment in μB/atom: 0.184

Unit cell a=5.260 b=5.260 c=3.709 alpha=90.00 beta=90.00 gamma=90.00
Space group P4/mmm (No. 123)
Unique sites:
Sr (0.000, 0.500, 0.000)
Co (0.000, 0.000, 0.500)
Cu (0.500, 0.500, 0.500)

=====

#x
DFT (PBE) results for a relaxed Sr2CoCu crystal.

Calculated values
Mass density in g cm⁻³: 4.16
Total moment in μB/atom: 0.240

Unit cell a=4.111 b=4.668 c=6.196 alpha=90.00 beta=90.00 gamma=90.00
Space group Pmm2 (No. 25)
Unique sites:
Sr (0.000, 0.000, 0.000)
Sr (0.500, 0.500, 0.499)
Co (0.000, 0.000, 0.500)
Cu (0.500, 0.500, 0.998)

=====

Going by the energies, #w is most stable and the next is 144 meV per atom up.